Record 1
The following is a DFT calculation (PBE-GGA) of a geometry-optimized Ti8O15 structure.

Output
- Space group: P-1 (2)
- Uncorrected energy: -412.6 eV/cell

a b c (Å): 5.5814 7.1947 13.4884
angles (deg): 100.32 96.34 108.63
Last column: nearest neighbours and their distance in Å.
Atoms (fractional coordinates):
Ti 0.0094 0.3108 0.3095  6 O 1.89-2.10
Ti 0.0122 0.8109 0.3085  6 O 1.92-2.11
Ti 0.2746 0.7787 0.9515  4 O 1.84-2.06
Ti 0.2761 0.2779 0.9548  4 O 1.86-2.02
Ti 0.3301 0.3981 0.5645  6 O 1.95-2.04
Ti 0.3335 0.8984 0.5639  6 O 1.96-2.06
Ti 0.3558 0.0270 0.1802  5 O 1.90-2.10
Ti 0.3569 0.5315 0.1801  4 O 1.88-2.01
Ti 0.6431 0.4685 0.8199  4 O 1.88-2.01
Ti 0.6442 0.9730 0.8198  5 O 1.90-2.10
Ti 0.6665 0.1016 0.4361  6 O 1.96-2.06
Ti 0.6699 0.6019 0.4355  6 O 1.95-2.04
Ti 0.7239 0.7221 0.0452  4 O 1.86-2.02
Ti 0.7254 0.2213 0.0485  4 O 1.84-2.06
Ti 0.9878 0.1891 0.6915  6 O 1.92-2.11
Ti 0.9906 0.6892 0.6905  6 O 1.89-2.10
O 0.0122 0.6486 0.8411  2 Ti 1.84-2.01
O 0.0356 0.2768 0.4454  3 Ti 1.89-2.02
O 0.0717 0.8553 0.0482  2 Ti 1.86-1.94
O 0.0831 0.4452 0.6538  3 Ti 1.93-2.00
O 0.1051 0.0668 0.2573  3 Ti 1.90-2.02
O 0.2316 0.1392 0.6101  3 Ti 1.92-2.01
O 0.2675 0.7658 0.2170  3 Ti 1.90-2.05
O 0.2813 0.3234 0.8214  3 Ti 1.89-2.11
O 0.3041 0.9309 0.4227  3 Ti 1.96-1.97
O 0.3109 0.5577 0.0238  4 Ti 2.00-2.19
O 0.3521 0.8556 0.7115  3 Ti 1.91-2.06
O 0.3772 0.4805 0.3120  3 Ti 1.88-2.04
O 0.4104 0.0484 0.9200  4 Ti 1.99-2.19
O 0.4158 0.2614 0.1076  4 Ti 2.05-2.16
O 0.4296 0.6545 0.5233  3 Ti 1.95-2.00
O 0.5704 0.3455 0.4767  3 Ti 1.95-2.00
O 0.5842 0.7386 0.8924  4 Ti 2.05-2.16
O 0.5896 0.9516 0.0800  4 Ti 1.99-2.19
O 0.6228 0.5195 0.6880  3 Ti 1.88-2.04
O 0.6479 0.1444 0.2885  3 Ti 1.91-2.06
O 0.6891 0.4423 0.9762  4 Ti 2.00-2.19
O 0.6959 0.0691 0.5773  3 Ti 1.96-1.97
O 0.7187 0.6766 0.1786  3 Ti 1.89-2.11
O 0.7325 0.2342 0.7830  3 Ti 1.90-2.05
O 0.7684 0.8608 0.3899  3 Ti 1.92-2.01
O 0.8949 0.9332 0.7427  3 Ti 1.90-2.02
O 0.9169 0.5548 0.3462  3 Ti 1.93-2.00
O 0.9283 0.1447 0.9518  2 Ti 1.86-1.94
O 0.9644 0.7232 0.5546  3 Ti 1.89-2.02
O 0.9878 0.3514 0.1589  2 Ti 1.84-2.01

=====

Record 2
The following is a DFT calculation (PBE-GGA) of a geometry-optimized TiO2 structure.

Output
- Space group: Pnma (62)
- Uncorrected energy: -213.6 eV/cell

a b c (Å): 8.9954 2.9819 10.7839
angles (deg): 90.00 90.00 90.00
Last column: nearest neighbours and their distance in Å.
Atoms (fractional coordinates):
Ti 0.0456 0.2500 0.1210  6 O 1.90-2.10
Ti 0.0948 0.2500 0.5983  6 O 1.91-2.09
Ti 0.4052 0.7500 0.0983  6 O 1.91-2.09
Ti 0.4544 0.7500 0.6210  6 O 1.90-2.10
Ti 0.5456 0.2500 0.3790  6 O 1.90-2.10
Ti 0.5948 0.2500 0.9017  6 O 1.91-2.09
Ti 0.9052 0.7500 0.4017  6 O 1.91-2.09
Ti 0.9544 0.7500 0.8790  6 O 1.90-2.10
O 0.0297 0.7500 0.7145  3 Ti 1.90-2.03
O 0.0752 0.2500 0.9275  3 Ti 1.92-2.10
O 0.1133 0.7500 0.4869  3 Ti 1.92-2.09
O 0.1991 0.7500 0.1400  3 Ti 1.91-2.04
O 0.3009 0.2500 0.6400  3 Ti 1.91-2.04
O 0.3867 0.2500 0.9869  3 Ti 1.92-2.09
O 0.4248 0.7500 0.4275  3 Ti 1.92-2.10
O 0.4703 0.2500 0.2145  3 Ti 1.90-2.03
O 0.5297 0.7500 0.7855  3 Ti 1.90-2.03
O 0.5752 0.2500 0.5725  3 Ti 1.92-2.10
O 0.6133 0.7500 0.0131  3 Ti 1.92-2.09
O 0.6991 0.7500 0.3600  3 Ti 1.91-2.04
O 0.8009 0.2500 0.8600  3 Ti 1.91-2.04
O 0.8867 0.2500 0.5131  3 Ti 1.92-2.09
O 0.9248 0.7500 0.0725  3 Ti 1.92-2.10
O 0.9703 0.2500 0.2855  3 Ti 1.90-2.03

=====

Record 3
The following is a DFT calculation (PBE-GGA) of a geometry-optimized TiO structure.

Output
- Space group: P4/m (83)
- Uncorrected energy: -139.6 eV/cell

a b c (Å): 6.8352 6.8352 4.0802
angles (deg): 90.00 90.00 90.00
Last column: nearest neighbours and their distance in Å.
Atoms (fractional coordinates):
Ti 0.0979 0.2651 0.0000  4 O 2.10-2.13
Ti 0.1772 0.6335 0.5000  5 O 1.99-2.07
Ti 0.2651 0.9022 0.0000  4 O 2.10-2.13
Ti 0.3665 0.1772 0.5000  5 O 1.99-2.07
Ti 0.6335 0.8228 0.5000  5 O 1.99-2.07
Ti 0.7349 0.0979 0.0000  4 O 2.10-2.13
Ti 0.8228 0.3665 0.5000  5 O 1.99-2.07
Ti 0.9022 0.7349 0.0000  4 O 2.10-2.13
O 0.1217 0.3355 0.5000  5 Ti 1.99-2.10
O 0.1836 0.6009 0.0000  4 Ti 2.05-2.13
O 0.3355 0.8783 0.5000  5 Ti 1.99-2.10
O 0.3991 0.1836 0.0000  4 Ti 2.05-2.13
O 0.6009 0.8164 0.0000  4 Ti 2.05-2.13
O 0.6645 0.1217 0.5000  5 Ti 1.99-2.10
O 0.8164 0.3991 0.0000  4 Ti 2.05-2.13
O 0.8783 0.6645 0.5000  5 Ti 1.99-2.10

=====

Record 4
The following is a DFT calculation (PBE-GGA) of a geometry-optimized TiO structure.

Output
- Space group: Pm-3n (223)
- Uncorrected energy: -102.0 eV/cell

a b c (Å): 5.6421 5.6421 5.6421
angles (deg): 90.00 90.00 90.00
Last column: nearest neighbours and their distance in Å.
Atoms (fractional coordinates):
Ti 0.0000 0.2500 0.5000  4 O 1.99
Ti 0.0000 0.7500 0.5000  4 O 1.99
Ti 0.2500 0.5000 0.0000  4 O 1.99
Ti 0.5000 0.0000 0.2500  4 O 1.99
Ti 0.5000 0.0000 0.7500  4 O 1.99
Ti 0.7500 0.5000 0.0000  4 O 1.99
O 0.0000 0.5000 0.2500  4 Ti 1.99
O 0.0000 0.5000 0.7500  4 Ti 1.99
O 0.2500 0.0000 0.5000  4 Ti 1.99
O 0.5000 0.2500 0.0000  4 Ti 1.99
O 0.5000 0.7500 0.0000  4 Ti 1.99
O 0.7500 0.0000 0.5000  4 Ti 1.99

=====

Record 5
The following is a DFT calculation (PBE-GGA) of a geometry-optimized TiO2 structure.

Output
- Space group: P2_1/c (14)
- Uncorrected energy: -106.9 eV/cell

a b c (Å): 4.8544 4.9123 5.0944
angles (deg): 90.00 100.12 90.00
Last column: nearest neighbours and their distance in Å.
Atoms (fractional coordinates):
Ti 0.2232 0.0565 0.2842  5 O 1.88-2.04
Ti 0.2232 0.4435 0.7842  5 O 1.88-2.04
Ti 0.7768 0.5565 0.2158  5 O 1.88-2.04
Ti 0.7768 0.9435 0.7158  5 O 1.88-2.04
O 0.0524 0.7416 0.5384  3 Ti 2.00-2.13
O 0.0524 0.7584 0.0384  3 Ti 2.00-2.13
O 0.4374 0.1782 0.6467  3 Ti 1.88-2.04
O 0.4374 0.3218 0.1467  3 Ti 1.88-2.04
O 0.5626 0.6782 0.8533  3 Ti 1.88-2.04
O 0.5626 0.8218 0.3533  3 Ti 1.88-2.04
O 0.9476 0.2416 0.9616  3 Ti 2.00-2.13
O 0.9476 0.2584 0.4616  3 Ti 2.00-2.13

=====

Record 6
The following is a DFT calculation (PBE-GGA) of a geometry-optimized Ti11O14 structure.

Output
- Space group: P-1 (2)
- Uncorrected energy: -224.1 eV/cell

a b c (Å): 5.0794 5.1062 10.7320
angles (deg): 86.08 76.39 70.40
Last column: nearest neighbours and their distance in Å.
Atoms (fractional coordinates):
Ti 0.0000 0.0000 0.0000  6 O 2.05-2.10
Ti 0.0889 0.4906 0.8552  6 O 2.04-2.13
Ti 0.2318 0.4865 0.5788  6 O 2.04-2.13
Ti 0.3048 0.9911 0.4346  6 O 2.05-2.23
Ti 0.3745 0.5151 0.2690  6 O 2.01-2.19
Ti 0.4314 0.9908 0.1432  6 O 2.03-2.11
Ti 0.5686 0.0092 0.8568  6 O 2.03-2.11
Ti 0.6255 0.4849 0.7310  6 O 2.01-2.19
Ti 0.6952 0.0089 0.5654  6 O 2.05-2.23
Ti 0.7682 0.5135 0.4212  6 O 2.04-2.13
Ti 0.9111 0.5094 0.1448  6 O 2.04-2.13
O 0.0475 0.7368 0.4342  5 Ti 2.13-2.19
O 0.1162 0.2590 0.2837  5 Ti 2.09-2.23
O 0.1724 0.7565 0.1407  4 Ti 2.01-2.11
O 0.2492 0.2532 0.0038  5 Ti 2.09-2.12
O 0.3193 0.7501 0.8621  4 Ti 2.01-2.11
O 0.3835 0.2236 0.7163  5 Ti 2.03-2.13
O 0.4668 0.7391 0.5817  5 Ti 2.04-2.13
O 0.5332 0.2609 0.4183  5 Ti 2.04-2.13
O 0.6165 0.7764 0.2837  5 Ti 2.03-2.13
O 0.6807 0.2499 0.1379  4 Ti 2.01-2.11
O 0.7508 0.7468 0.9962  5 Ti 2.09-2.12
O 0.8276 0.2435 0.8593  4 Ti 2.01-2.11
O 0.8838 0.7410 0.7163  5 Ti 2.09-2.23
O 0.9525 0.2632 0.5658  5 Ti 2.13-2.19

=====

no.,uncorrected formation energy (eV per formula unit)
1,-68.77
2,-8.89
3,-4.60
4,-4.14
5,-8.91
6,-67.80